# 1
## NbCoNiB2 (GGA-PBE)

Data for crystalline NbCoNiB2 at its relaxed geometry.

Properties
Calculated total energy   -7.739 eV per atom
Volume   9.8 A^3/atom

Cell lengths 4.949, 4.949, 4.949 Å; angles 140.35, 140.35, 57.33 degrees
Fractional positions:
Co1 0.000 0.000 0.000
B1 0.146 0.646 0.500
B2 0.354 0.854 0.500
Nb1 0.750 0.250 0.500
Ni1 0.500 0.500 0.000


# 2
## NbCoBPd (GGA-PBE)

Data for crystalline NbCoBPd at its relaxed geometry.

Properties
Offset from the most stable computed form   0.0 meV/atom
Volume   13.0 A^3/atom

Cell lengths 4.187, 4.187, 4.187 Å; angles 60.00, 60.00, 60.00 degrees
Each line ends with the local moment (μB).
Fractional positions:
Co1 0.750 0.750 0.750  -0.24
Nb1 0.250 0.250 0.250  0.01
Pd1 0.500 0.500 0.500  0.00
B1 0.000 0.000 0.000  0.01


# 3
## NbCoBPd (GGA-PBE)

Data for crystalline NbCoBPd at its relaxed geometry.

Properties
Offset from the most stable computed form   60.1 meV/atom
Volume   12.9 A^3/atom

Cell lengths 4.175, 4.175, 4.175 Å; angles 60.00, 60.00, 60.00 degrees
Each line ends with the local moment (μB).
Fractional positions:
Co1 0.750 0.750 0.750  0.56
Pd1 0.250 0.250 0.250  0.08
Nb1 0.500 0.500 0.500  -0.02
B1 0.000 0.000 0.000  0.03


# 4
## ScNbCoB (GGA-PBE)

Data for crystalline ScNbCoB at its relaxed geometry.

Properties
Offset from the most stable computed form   0.0 meV/atom
Volume   13.3 A^3/atom

Cell lengths 4.223, 4.223, 4.223 Å; angles 60.00, 60.00, 60.00 degrees
Each line ends with the local moment (μB).
Fractional positions:
B1 0.000 0.000 0.000  0.01
Co1 0.750 0.750 0.750  0.09
Sc1 0.250 0.250 0.250  0.07
Nb1 0.500 0.500 0.500  0.09


# 5
## NbCoTcB (GGA-PBE)

Data for crystalline NbCoTcB at its relaxed geometry.

Properties
Offset from the most stable computed form   0.0 meV/atom
Volume   12.5 A^3/atom

Cell lengths 4.138, 4.138, 4.138 Å; angles 60.00, 60.00, 60.00 degrees
Fractional positions:
Nb1 0.500 0.500 0.500
Co1 0.750 0.750 0.750
B1 0.000 0.000 0.000
Tc1 0.250 0.250 0.250


# 6
## NbCoBW (GGA-PBE)

Data for crystalline NbCoBW at its relaxed geometry.

Properties
Offset from the most stable computed form   0.0 meV/atom
Volume   13.2 A^3/atom

Cell lengths 4.211, 4.211, 4.211 Å; angles 60.00, 60.00, 60.00 degrees
Fractional positions:
B1 0.000 0.000 0.000
Nb1 0.500 0.500 0.500
Co1 0.750 0.750 0.750
W1 0.250 0.250 0.250


# 7
## YNbCoB (GGA-PBE)

Data for crystalline YNbCoB at its relaxed geometry.

Properties
Offset from the most stable computed form   2.1 meV/atom
Volume   14.9 A^3/atom

Cell lengths 4.381, 4.381, 4.381 Å; angles 60.00, 60.00, 60.00 degrees
Each line ends with the local moment (μB).
Fractional positions:
Y1 0.500 0.500 0.500  0.14
B1 0.000 0.000 0.000  -0.04
Nb1 0.250 0.250 0.250  1.34
Co1 0.750 0.750 0.750  0.45


# 8
## YNbCoB (GGA-PBE)

Data for crystalline YNbCoB at its relaxed geometry.

Properties
Offset from the most stable computed form   0.0 meV/atom
Volume   15.1 A^3/atom

Cell lengths 4.403, 4.403, 4.403 Å; angles 60.00, 60.00, 60.00 degrees
Fractional positions:
Y1 0.250 0.250 0.250
Nb1 0.500 0.500 0.500
B1 0.000 0.000 0.000
Co1 0.750 0.750 0.750